Computed, not measured: a relaxed structure of NbCoRe at the GGA-PBE level of DFT.

DOS at the Fermi energy (states/eV per cell): 11.509
DFT total energy (eV per atom): -9.803
Energy of formation from the pure elements (eV per atom): 0.07

Cell: 5.1440 5.6650 6.9861 Å, 90.00 90.00 117.00°
Fractional coordinates of all 12 atoms:
Co 0.1062 0.2124 0.9424
Co 0.6062 0.2124 0.5576
Co 0.8938 0.7876 0.0576
Co 0.3938 0.7876 0.4424
Nb 0.3327 0.6654 0.0819
Nb 0.6673 0.3346 0.9181
Nb 0.8327 0.6654 0.4181
Nb 0.1673 0.3346 0.5819
Re 0.6813 0.8626 0.7500
Re 0.1813 0.8626 0.7500
Re 0.3187 0.1374 0.2500
Re 0.8187 0.1374 0.2500

Computed, not measured: a relaxed structure of NbCo2Re2 at the GGA-PBE level of DFT.

DOS at the Fermi energy (states/eV per cell): 8.621
DFT total energy (eV per atom): -9.815
Energy of formation from the pure elements (eV per atom): 0.02

Cell: 7.2466 7.2466 2.6469 Å, 90.00 90.00 90.00°
Fractional coordinates of all 10 atoms:
Nb 0.5000 0.5000 0.0000
Nb 0.0000 0.0000 0.0000
Re 0.1739 0.6739 0.5000
Re 0.3261 0.1739 0.5000
Re 0.6739 0.8261 0.5000
Re 0.8261 0.3261 0.5000
Co 0.6195 0.1195 0.0000
Co 0.3805 0.8805 0.0000
Co 0.1195 0.3805 0.0000
Co 0.8805 0.6195 0.0000

Computed, not measured: a relaxed structure of NbCo3Re at the GGA-PBE level of DFT.

DOS at the Fermi energy (states/eV per cell): 8.076
DFT total energy (eV per atom): -7.395
Energy of formation from the pure elements (eV per atom): 1.37

Cell: 4.3649 4.3649 4.3649 Å, 90.00 90.00 90.00°
Each line ends with the local moment (μB).
Fractional coordinates of all 5 atoms:
Nb 0.5000 0.5000 0.5000  0.47
Co 0.0000 0.0000 0.5000  0.38
Co 0.5000 0.0000 0.0000  0.33
Co 0.0000 0.5000 0.0000  0.33
Re 0.0000 0.0000 0.0000  -0.06

Computed, not measured: a relaxed structure of NbCoRe3 at the GGA-PBE level of DFT.

DOS at the Fermi energy (states/eV per cell): 9.839
DFT total energy (eV per atom): -9.573
Energy of formation from the pure elements (eV per atom): 1.33

Cell: 4.4005 4.4005 4.4005 Å, 90.00 90.00 90.00°
Fractional coordinates of all 5 atoms:
Re 0.0000 0.0000 0.5000
Re 0.0000 0.5000 0.0000
Re 0.5000 0.0000 0.0000
Co 0.0000 0.0000 0.0000
Nb 0.5000 0.5000 0.5000